Er2PbC: relaxed, PBE.

Calculated values
Uncorrected energy ... -6.039 eV per atom
Fermi-level density of states ... 2.76 states/eV per cell

a b c (Å): 3.6101 3.6101 23.8567
angles (deg): 90.00 90.00 120.00
Space group R-3m (No. 166, hexagonal axes)
Unique sites:
Er 0.0000 0.0000 0.2218
Pb 0.0000 0.0000 0.0000
C 0.0000 0.0000 0.5000